SrMg2Tl: optimized geometry, GGA-PBE.

a b c (Å): 5.877 5.877 3.872
angles (deg): 90.00 90.00 109.76
Atoms (fractional coordinates):
Mg (0.000, 0.000, 0.000)
Mg (0.500, 0.500, 0.000)
Sr (0.500, 0.000, 0.500)
Tl (0.000, 0.500, 0.500)

Results
The total energy comes out at -7.2 eV per formula unit. The offset from the most stable computed form is 0.191 eV per atom. The formation enthalpy at 0 K comes out at 0.04 eV/f.u. The value obtained for the magnetization is 0.00 μB per formula unit. As for the space group: No. 65.